Record 1
Entry from Alexandria: BeSi3Ru4 after structural relaxation (PBE-GGA).

Computed properties:
* total magnetization: 0.000 μB/f.u.
* formation energy (no corrections): -0.6192 eV per atom

Unit cell a=5.8020 b=5.8101 c=11.5975 alpha=90.00 beta=90.00 gamma=90.00
Space group Fmmm (No. 69)
One atom of each set of equivalent atoms:
Be 0.0000 0.0000 0.0000 x4
Si 0.0000 0.0000 0.2434 x8
Si 0.0000 0.0000 0.5000 x4
Ru 0.2500 0.2500 0.1248 x16


Record 2
Entry from Alexandria: MgTl2S2 after structural relaxation (PBE-GGA).

Computed properties:
* E above lowest polymorph: 17.094 kcal/mol of atoms
* total magnetization: 0.000 μB/f.u.
* formation energy (no corrections): 0.0289 eV per atom

Unit cell a=8.0849 b=8.0849 c=3.8386 alpha=90.00 beta=90.00 gamma=90.00
Space group P4/mbm (No. 127)
One atom of each set of equivalent atoms:
Mg 0.0000 0.0000 0.0000 x2
Tl 0.1341 0.3659 0.0000 x4
S 0.1797 0.6797 0.5000 x4


Record 3
Entry from Alexandria: CuAs2Se after structural relaxation (PBE-GGA).

Computed properties:
* total magnetization: 0.000 μB/f.u.
* formation energy (no corrections): 0.4549 eV per atom

Unit cell a=4.7502 b=4.7502 c=3.1601 alpha=90.00 beta=90.00 gamma=90.00
Space group P4/mmm (No. 123)
One atom of each set of equivalent atoms:
Cu 0.0000 0.0000 0.0000 x1
As 0.0000 0.5000 0.5000 x2
Se 0.5000 0.5000 0.0000 x1


Record 4
Entry from Alexandria: Ac2NpO8 after structural relaxation (PBE-GGA).

Computed properties:
* total magnetization: 2.784 μB/f.u.
* formation energy (no corrections): -2.3956 eV per atom

Unit cell a=10.7861 b=7.6821 c=4.9575 alpha=90.00 beta=111.80 gamma=90.00
Space group C2/m (No. 12)
One atom of each set of equivalent atoms:
Ac 0.1821 0.0000 0.3458 x4
Np 0.0000 0.5000 0.0000 x2
O 0.0680 0.0000 0.7207 x4
O 0.1059 0.5000 0.7691 x4
O 0.1333 0.3218 0.2609 x8


Record 5
Entry from Alexandria: BaGaSn2 after structural relaxation (PBE-GGA).

Computed properties:
* total magnetization: 0.000 μB/f.u.
* ΔE_f: -0.345 eV per atom

Unit cell a=4.9403 b=4.9403 c=18.1696 alpha=90.00 beta=90.00 gamma=120.00
Space group R-3m (No. 166, hexagonal axes)
One atom of each set of equivalent atoms:
Ba 0.0000 0.0000 0.0000 x3
Ga 0.0000 0.0000 0.5000 x3
Sn 0.0000 0.0000 0.2104 x6


Record 6
Entry from Alexandria: CoCS2Cl after structural relaxation (PBE-GGA).

Computed properties:
* E above lowest polymorph: 0.000 kcal/mol of atoms
* total magnetization: 2.269 μB/f.u.
* formation energy (no corrections): 1.2900 eV per atom

Unit cell a=3.7837 b=3.7837 c=6.8059 alpha=90.00 beta=90.00 gamma=90.00
Space group P4/mmm (No. 123)
One atom of each set of equivalent atoms:
Co 0.0000 0.0000 0.0000 x1
C 0.5000 0.5000 0.5000 x1
S 0.0000 0.5000 0.5000 x2
Cl 0.5000 0.5000 0.0000 x1


Record 7
Entry from Alexandria: SiPtSe3 after structural relaxation (PBE-GGA).

Computed properties:
* E above lowest polymorph: 0.000 kcal/mol of atoms
* total magnetization: 0.000 μB/f.u.
* formation energy (no corrections): 0.6417 eV per atom

Unit cell a=4.9588 b=4.9588 c=4.9588 alpha=90.00 beta=90.00 gamma=90.00
Space group Pm-3m (No. 221)
One atom of each set of equivalent atoms:
Si 0.0000 0.0000 0.0000 x1
Pt 0.5000 0.5000 0.5000 x1
Se 0.0000 0.5000 0.5000 x3


Record 8
Entry from Alexandria: CoHgW3 after structural relaxation (PBE-GGA).

Computed properties:
* E above lowest polymorph: 0.000 kcal/mol of atoms
* total magnetization: 0.000 μB/f.u.
* ΔE_f: 1.397 eV per atom

Unit cell a=4.4903 b=4.4903 c=4.4903 alpha=90.00 beta=90.00 gamma=90.00
Space group Pm-3m (No. 221)
One atom of each set of equivalent atoms:
Co 0.0000 0.0000 0.0000 x1
Hg 0.5000 0.5000 0.5000 x1
W 0.0000 0.0000 0.5000 x3